{
  "formula": "CsBeTlHg2",
  "functional": "GGA-PBE",
  "state": "optimized geometry",
  "cell": [[-0.056, -4.495, 2.869], [5.106, 0.782, 1.325], [-1.500, 2.693, 4.192]],
  "species": ["Cs", "Be", "Tl", "Hg", "Hg"],
  "fractional_positions": [[0.500, 0.500, 0.500], [0.000, 0.000, 0.000], [0.000, 0.000, 0.500], [0.000, 0.500, 0.000], [0.500, 0.000, 0.000]],
  "e_form_kcal_per_mol_atoms": 2.4
}

{
  "formula": "Cs2HoBe2S4",
  "functional": "GGA-PBE",
  "state": "optimized geometry",
  "cell": [[-2.918, 0.436, -2.373], [3.251, -5.658, -5.037], [-2.936, -3.528, 5.983]],
  "species": ["Cs", "Cs", "Ho", "Be", "Be", "S", "S", "S", "S"],
  "fractional_positions": [[0.134, 0.540, 0.267], [0.866, 0.460, 0.733], [0.000, 0.000, 0.000], [0.673, 0.975, 0.346], [0.327, 0.025, 0.654], [0.203, 0.126, 0.405], [0.797, 0.874, 0.595], [0.537, 0.786, 0.074], [0.463, 0.214, 0.926]],
  "e_form_raw_ev_per_atom": -1.1909
}

{
  "formula": "CsHoBeS3",
  "functional": "GGA-PBE",
  "state": "optimized geometry",
  "cell": [[-1.065, 1.062, -3.590], [-6.845, -6.660, 0.060], [-2.974, 8.392, 3.366]],
  "species": ["Cs", "Cs", "Ho", "Ho", "Be", "Be", "S", "S", "S", "S", "S", "S"],
  "fractional_positions": [[0.250, 0.213, 0.243], [0.750, 0.787, 0.757], [0.250, 0.668, 0.146], [0.750, 0.332, 0.854], [0.250, 0.075, 0.606], [0.750, 0.925, 0.394], [0.750, 0.874, 0.162], [0.250, 0.126, 0.838], [0.250, 0.842, 0.462], [0.750, 0.158, 0.538], [0.750, 0.476, 0.160], [0.250, 0.524, 0.840]],
  "e_form_raw_ev_per_atom": -1.5639
}

{
  "formula": "Cs2HoBe2Se4",
  "functional": "GGA-PBE",
  "state": "optimized geometry",
  "cell": [[3.954, 0.000, 0.000], [0.000, 8.534, 0.527], [-1.977, -2.886, 7.047]],
  "species": ["Cs", "Cs", "Ho", "Be", "Be", "Se", "Se", "Se", "Se"],
  "fractional_positions": [[0.133, 0.538, 0.267], [0.867, 0.462, 0.733], [0.000, 0.000, 0.000], [0.671, 0.977, 0.342], [0.329, 0.023, 0.658], [0.202, 0.133, 0.404], [0.798, 0.867, 0.596], [0.534, 0.781, 0.068], [0.466, 0.219, 0.932]],
  "e_form_raw_ev_per_atom": -1.0603
}

no.,D(E_F) (states/eV/atom)
1,0.338
2,0.379
3,0.000
4,0.417